Record 1
The following is a GGA-PBE calculation of a relaxed structure of Be2SiAu, from the Alexandria database.

Summary:
The magnetic moment comes out at 0.00 μB per cell. The symmetry is P4/mmm (123). The uncorrected energy comes out at -3.785 eV per atom. For the formation energy (no corrections), the calculation gives 254 meV per atom.

abc: 2.7305 2.7305 6.7165
angles: 90.00 90.00 90.00
Closest atoms and distances in Å follow each position.
Positions (direct):
Si 0.5000 0.5000 0.2500  8 Be 2.48, 4 Si 2.73
Be 0.0000 0.0000 0.4816  4 Si 2.48, 4 Au 2.64, 4 Be 2.73
Be 0.0000 0.0000 0.0184  4 Si 2.48, 4 Au 2.64, 4 Be 2.73
Au 0.5000 0.5000 0.7500  8 Be 2.64, 4 Au 2.73

=====

Record 2
The following is a GGA-PBE calculation of a relaxed structure of CoMo3, from the Alexandria database.

Summary:
The magnetic moment comes out at 0.00 μB per cell. The symmetry is I4/mmm (139). The value obtained for the calculated formation energy is 231 meV per atom. The uncorrected energy comes out at -9.668 eV per atom.

abc: 4.8231 4.8231 4.8231
angles: 133.26 133.26 68.25
Closest atoms and distances in Å follow each position.
Positions (direct):
Co 0.0000 0.0000 0.0000  12 Mo 2.71-2.77
Mo 0.7500 0.2500 0.5000  8 Mo 2.71-2.77, 4 Co 2.77
Mo 0.2500 0.7500 0.5000  8 Mo 2.71-2.77, 4 Co 2.77
Mo 0.5000 0.5000 0.0000  4 Co 2.71, 8 Mo 2.77

=====

Record 3
The following is a GGA-PBE calculation of a relaxed structure of FeCuRe, from the Alexandria database.

Summary:
The magnetic moment comes out at 2.53 μB per cell. The symmetry is Fmm2 (42). The value obtained for the calculated formation energy is 253 meV per atom. The uncorrected energy comes out at -8.082 eV per atom. The energy relative to the lowest polymorph listed for this composition is 34 meV/atom.

abc: 6.6228 6.4583 2.5889
angles: 82.18 75.04 22.79
Closest atoms and distances in Å follow each position.
Positions (direct):
Re 0.3296 0.3296 0.6704  2 Fe 2.55, 4 Re 2.59, 2 Cu 2.67
Cu 0.0047 0.0047 0.9953  2 Fe 2.52, 4 Cu 2.59, 2 Re 2.67
Fe 0.6656 0.6656 0.3344  2 Cu 2.52, 2 Re 2.55, 4 Fe 2.59

=====

Record 4
The following is a GGA-PBE calculation of a relaxed structure of ZnCd, from the Alexandria database.

Summary:
The magnetic moment comes out at 0.00 μB per cell. The symmetry is R-3m (166). The value obtained for the calculated formation energy is 66 meV per atom. The uncorrected energy comes out at -1.029 eV per atom.

abc: 9.2807 9.2807 9.2807
angles: 19.44 19.44 19.44
Closest atoms and distances in Å follow each position.
Positions (direct):
Zn 0.7572 0.7572 0.7572  3 Zn 2.61, 3 Cd 2.91
Zn 0.4928 0.4928 0.4928  3 Zn 2.61, 3 Cd 2.91
Cd 0.2431 0.2431 0.2431  3 Zn 2.91, 9 Cd 3.13-3.21
Cd 0.0069 0.0069 0.0069  3 Zn 2.91, 9 Cd 3.13-3.21

=====

Record 5
The following is a GGA-PBE calculation of a relaxed structure of HfAs3Pb, from the Alexandria database.

Summary:
The magnetic moment comes out at 0.00 μB per cell. The symmetry is Pm-3m (221). The value obtained for the calculated formation energy is 37 meV per atom. The uncorrected energy comes out at -5.485 eV per atom. The energy relative to the lowest polymorph listed for this composition is 0 meV/atom.

abc: 5.1733 5.1733 5.1733
angles: 90.00 90.00 90.00
Closest atoms and distances in Å follow each position.
Positions (direct):
As 0.0000 0.0000 0.5000  2 Hf 2.59
As 0.5000 0.0000 0.0000  2 Hf 2.59
As 0.0000 0.5000 0.0000  2 Hf 2.59
Pb 0.5000 0.5000 0.5000  12 As 3.66
Hf 0.0000 0.0000 0.0000  6 As 2.59

=====

Record 6
The following is a GGA-PBE calculation of a relaxed structure of ZrMoP2, from the Alexandria database.

Summary:
The magnetic moment comes out at 0.00 μB per cell. The symmetry is Cmm2 (35). The value obtained for the calculated formation energy is -68 meV per atom. The uncorrected energy comes out at -7.618 eV per atom. The energy relative to the lowest polymorph listed for this composition is 861 meV/atom.

abc: 2.9273 2.9273 9.0107
angles: 90.00 90.00 105.75
Closest atoms and distances in Å follow each position.
Positions (direct):
P 0.0000 0.0000 0.9487  2 Mo 2.43
P 0.5000 0.5000 0.2890  2 Zr 2.59
Zr 0.0000 0.0000 0.4992  2 P 2.59
Mo 0.5000 0.5000 0.7631  2 P 2.43

=====

Record 7
The following is a GGA-PBE calculation of a relaxed structure of TaAsPb2, from the Alexandria database.

Summary:
The magnetic moment comes out at 0.00 μB per cell. The symmetry is Immm (71). The value obtained for the calculated formation energy is 201 meV per atom. The uncorrected energy comes out at -5.779 eV per atom.

abc: 8.0036 8.0036 4.1087
angles: 75.14 75.14 23.81
Closest atoms and distances in Å follow each position.
Positions (direct):
As 0.2500 0.2500 0.2500  4 Ta 2.64
Ta 0.7500 0.7500 0.7500  4 As 2.64
Pb 0.0713 0.0713 0.9288  2 Ta 3.17, 6 Pb 3.30-3.41, 2 As 3.39
Pb 0.4287 0.4287 0.5712  2 Ta 3.17, 6 Pb 3.30-3.41, 2 As 3.39

=====

Record 8
The following is a GGA-PBE calculation of a relaxed structure of LiZrRh2, from the Alexandria database.

Summary:
The magnetic moment comes out at 0.00 μB per cell. The symmetry is Fm-3m (225). The value obtained for the calculated formation energy is -636 meV per atom. The uncorrected energy comes out at -6.927 eV per atom.

abc: 4.4401 4.4401 4.4401
angles: 60.00 60.00 60.00
Closest atoms and distances in Å follow each position.
Positions (direct):
Zr 0.5000 0.5000 0.5000  8 Rh 2.72
Li 0.0000 0.0000 0.0000  8 Rh 2.72
Rh 0.2500 0.2500 0.2500  4 Zr 2.72, 4 Li 2.72
Rh 0.7500 0.7500 0.7500  4 Zr 2.72, 4 Li 2.72

=====

Record 9
The following is a GGA-PBE calculation of a relaxed structure of FeTeBr2, from the Alexandria database.

Summary:
The magnetic moment comes out at 4.43 μB per cell. The symmetry is Immm (71). The uncorrected energy comes out at -3.666 eV per atom. For the formation energy (no corrections), the calculation gives 71 meV per atom.

abc: 7.2350 7.2350 7.2350
angles: 154.25 126.54 60.26
Closest atoms and distances in Å follow each position.
Positions (direct):
Br 0.6004 0.6004 0.0000  2 Fe 2.47
Br 0.8996 0.8996 0.0000  2 Fe 2.47
Fe 0.7500 0.2500 0.5000  4 Br 2.47
Te 0.2500 0.7500 0.5000  2 Te 3.22

=====

Record 10
The following is a GGA-PBE calculation of a relaxed structure of PrNbSi2, from the Alexandria database.

Summary:
The magnetic moment comes out at 0.00 μB per cell. The symmetry is R-3m (166). The uncorrected energy comes out at -6.837 eV per atom. For the formation energy (no corrections), the calculation gives -413 meV per atom.

abc: 3.9024 3.9024 6.9088
angles: 73.60 73.60 60.00
Closest atoms and distances in Å follow each position.
Positions (direct):
Si 0.2649 0.2649 0.2054  3 Nb 2.62
Si 0.7351 0.7351 0.7946  3 Nb 2.62
Pr 0.5000 0.5000 0.5000  6 Si 2.96
Nb 0.0000 0.0000 0.0000  6 Si 2.62

=====

Record 11
The following is a GGA-PBE calculation of a relaxed structure of BaLaGeC2, from the Alexandria database.

Summary:
The magnetic moment comes out at 0.00 μB per cell. The symmetry is P4/mmm (123). The value obtained for the calculated formation energy is 2367 meV per atom. The uncorrected energy comes out at -3.616 eV per atom.

abc: 4.6600 6.3591 4.6600
angles: 90.00 90.00 90.00
Closest atoms and distances in Å follow each position.
Positions (direct):
Ba 0.0000 0.0000 0.0000  4 C 2.33
Ge 0.5000 0.5000 0.5000  4 La 3.30
La 0.0000 0.5000 0.0000  2 Ba 3.18, 4 Ge 3.30
C 0.5000 0.0000 0.0000  2 Ba 2.33
C 0.0000 0.0000 0.5000  2 Ba 2.33

=====

Record 12
The following is a GGA-PBE calculation of a relaxed structure of Sc2Zn2S, from the Alexandria database.

Summary:
The magnetic moment comes out at 0.00 μB per cell. The symmetry is P4/mbm (127). The uncorrected energy comes out at -4.514 eV per atom. For the formation energy (no corrections), the calculation gives -646 meV per atom. The energy relative to the lowest polymorph listed for this composition is 0 meV/atom.

abc: 6.7345 6.7345 4.4601
angles: 90.00 90.00 90.00
Closest atoms and distances in Å follow each position.
Positions (direct):
Sc 0.6701 0.1701 0.0000  2 S 2.50
Sc 0.8299 0.6701 0.0000  2 S 2.50
Sc 0.3299 0.8299 0.0000  2 S 2.50
Sc 0.1701 0.3299 0.0000  2 S 2.50
Zn 0.1309 0.6309 0.5000  1 Zn 2.49
Zn 0.3691 0.1309 0.5000  1 Zn 2.49
Zn 0.8691 0.3691 0.5000  1 Zn 2.49
Zn 0.6309 0.8691 0.5000  1 Zn 2.49
S 0.0000 0.0000 0.0000  4 Sc 2.50
S 0.5000 0.5000 0.0000  4 Sc 2.50

=====

Record 13
The following is a GGA-PBE calculation of a relaxed structure of MnCuTe2, from the Alexandria database.

Summary:
The magnetic moment comes out at 4.25 μB per cell. The symmetry is F-43m (216). The uncorrected energy comes out at -4.292 eV per atom. For the formation energy (no corrections), the calculation gives 595 meV per atom.

abc: 4.9980 4.9980 4.9980
angles: 60.00 60.00 60.00
Closest atoms and distances in Å follow each position.
Positions (direct):
Cu 0.5000 0.5000 0.5000  4 Mn 3.06, 4 Te 3.06
Mn 0.7500 0.7500 0.7500  4 Cu 3.06, 4 Te 3.06
Te 0.0000 0.0000 0.0000  4 Te 3.06, 4 Mn 3.06
Te 0.2500 0.2500 0.2500  4 Te 3.06, 4 Cu 3.06

=====

Record 14
The following is a GGA-PBE calculation of a relaxed structure of Tb4SnIr, from the Alexandria database.

Summary:
The magnetic moment comes out at 0.00 μB per cell. The symmetry is P2_1/c (14). The value obtained for the calculated formation energy is -477 meV per atom. The uncorrected energy comes out at -5.708 eV per atom. The energy relative to the lowest polymorph listed for this composition is 125 meV/atom.

abc: 6.9931 7.0626 7.4810
angles: 90.00 92.06 90.00
Closest atoms and distances in Å follow each position.
Positions (direct):
Sn 0.5000 0.5000 0.0000  6 Tb 3.02-3.21
Sn 0.0000 0.0000 0.0000  6 Tb 3.02-3.21
Tb 0.1760 0.8358 0.6406  2 Ir 2.78-2.86
Tb 0.8240 0.1642 0.3594  2 Ir 2.78-2.86
Tb 0.1305 0.3536 0.8133  1 Ir 2.69
Tb 0.3695 0.8536 0.1867  1 Ir 2.69
Tb 0.6760 0.6642 0.6406  2 Ir 2.78-2.86
Tb 0.3240 0.3358 0.3594  2 Ir 2.78-2.86
Tb 0.8695 0.6464 0.1867  1 Ir 2.69
Tb 0.6305 0.1464 0.8133  1 Ir 2.69
Ir 0.5000 0.0000 0.5000  6 Tb 2.69-2.86
Ir 0.0000 0.5000 0.5000  6 Tb 2.69-2.86

=====

Record 15
The following is a GGA-PBE calculation of a relaxed structure of TiCrPb, from the Alexandria database.

Summary:
The magnetic moment comes out at 0.00 μB per cell. The symmetry is P2_1/m (11). The value obtained for the calculated formation energy is 274 meV per atom. The uncorrected energy comes out at -6.801 eV per atom. The energy relative to the lowest polymorph listed for this composition is 112 meV/atom.

abc: 5.1070 3.0943 7.1553
angles: 90.00 96.07 90.00
Closest atoms and distances in Å follow each position.
Positions (direct):
Pb 0.8853 0.7500 0.7199  3 Cr 2.90-2.94, 5 Ti 2.95-3.07, 2 Pb 3.09
Pb 0.1147 0.2500 0.2801  3 Cr 2.90-2.94, 5 Ti 2.95-3.07, 2 Pb 3.09
Cr 0.6503 0.2500 0.0088  2 Cr 2.17
Cr 0.3497 0.7500 0.9912  2 Cr 2.17
Ti 0.3908 0.2500 0.6675  3 Cr 2.65-2.81, 2 Pb 2.95
Ti 0.6092 0.7500 0.3325  3 Cr 2.65-2.81, 2 Pb 2.95

=====

Record 16
The following is a GGA-PBE calculation of a relaxed structure of CaMnCd, from the Alexandria database.

Summary:
The magnetic moment comes out at 3.88 μB per cell. The symmetry is F-43m (216). The value obtained for the calculated formation energy is 409 meV per atom. The uncorrected energy comes out at -3.620 eV per atom.

abc: 4.9183 4.9183 4.9183
angles: 60.00 60.00 60.00
Closest atoms and distances in Å follow each position.
Positions (direct):
Cd 0.7500 0.7500 0.7500  4 Mn 3.01, 4 Ca 3.01
Mn 0.0000 0.0000 0.0000  4 Cd 3.01
Ca 0.5000 0.5000 0.5000  4 Cd 3.01